This record from Alexandria describes an optimized crystal structure of LuThNi4. The functional is PBE.

```
LuThNi4
1.0
5.105 0.000 0.000
2.552 4.421 0.000
2.552 1.474 4.168
Th Lu Ni
1 1 4
Direct
0.250 0.250 0.250
0.000 0.000 0.000
0.626 0.122 0.626
0.626 0.626 0.122
0.122 0.626 0.626
0.626 0.626 0.626
```

Values from the calculation:
Formation energy, eV/atom: -0.43
Total DFT energy (no corrections), eV per atom: -6.2793
Theoretical density, g/cm³: 11.33
Space-group type: No. 216